#P
# SmThNi2 (PBE, relaxed)
data_SmThNi2
_cell_length_a 3.927
_cell_length_b 3.927
_cell_length_c 7.244
_cell_angle_alpha 74.27
_cell_angle_beta 74.27
_cell_angle_gamma 60.00
_symmetry_space_group_name_H-M 'P 1'
_symmetry_Int_Tables_number 1
loop_
_symmetry_equiv_pos_as_xyz
'x,y,z'
loop_
_atom_site_label
_atom_site_type_symbol
_atom_site_fract_x
_atom_site_fract_y
_atom_site_fract_z
_atom_site_occupancy
Ni1 Ni 0.253 0.253 0.242 1
Th1 Th 0.669 0.669 0.992 1
Sm1 Sm 0.497 0.497 0.510 1
Ni2 Ni 0.082 0.082 0.755 1
# - Fermi-level density of states (states/eV/f.u.) = 2.14
# - crystal system = trigonal
# - total moment (μB per cell) = 0.0



#Q
# SmThNi2 (PBE, relaxed)
data_SmThNi2
_cell_length_a 3.684
_cell_length_b 4.303
_cell_length_c 5.712
_cell_angle_alpha 90.00
_cell_angle_beta 108.41
_cell_angle_gamma 90.00
_symmetry_space_group_name_H-M 'P 1'
_symmetry_Int_Tables_number 1
loop_
_symmetry_equiv_pos_as_xyz
'x,y,z'
loop_
_atom_site_label
_atom_site_type_symbol
_atom_site_fract_x
_atom_site_fract_y
_atom_site_fract_z
_atom_site_occupancy
Ni1 Ni 0.166 0.500 0.874 1
Ni2 Ni 0.008 0.000 0.555 1
Sm1 Sm 0.446 0.500 0.426 1
Th1 Th 0.710 0.000 0.963 1
# - Fermi-level density of states (states/eV/f.u.) = 4.10
# - crystal system = monoclinic
# - total moment (μB per cell) = 0.0



#R
# SmThNi2 (PBE, relaxed)
data_SmThNi2
_cell_length_a 3.483
_cell_length_b 4.910
_cell_length_c 4.910
_cell_angle_alpha 90.00
_cell_angle_beta 90.00
_cell_angle_gamma 90.00
_symmetry_space_group_name_H-M 'P 1'
_symmetry_Int_Tables_number 1
loop_
_symmetry_equiv_pos_as_xyz
'x,y,z'
loop_
_atom_site_label
_atom_site_type_symbol
_atom_site_fract_x
_atom_site_fract_y
_atom_site_fract_z
_atom_site_occupancy
Th1 Th 0.500 0.000 0.000 1
Ni1 Ni 0.000 0.500 0.000 1
Ni2 Ni 0.000 0.000 0.500 1
Sm1 Sm 0.500 0.500 0.500 1
# - Fermi-level density of states (states/eV/f.u.) = 4.47
# - crystal system = tetragonal
# - total moment (μB per cell) = 0.0



Most stable structure: #Q